# MoOsPt2 (meta-GGA SCAN, single point on PBEsol structure)
data_MoOsPt2
_chemical_formula_sum 'Mo1 Os1 Pt2'
_cell_length_a 2.702
_cell_length_b 3.930
_cell_length_c 5.526
_cell_angle_alpha 90.00
_cell_angle_beta 90.00
_cell_angle_gamma 90.00
_symmetry_space_group_name_H-M 'P m m 2'
_symmetry_Int_Tables_number 25
loop_
_symmetry_equiv_pos_as_xyz
'x,y,z'
'-x,-y,z'
'-x,y,z'
'x,-y,z'
loop_
_atom_site_label
_atom_site_fract_x
_atom_site_fract_y
_atom_site_fract_z
_atom_site_occupancy
Mo1 0.000 0.000 0.000 1
Os1 0.500 0.500 0.239 1
Pt1 0.000 0.000 0.487 1
Pt2 0.500 0.500 0.747 1
# **Crystal system**: orthorhombic
# **VASP energy**: -247.667 eV per formula unit

---

# MoOs2Pt (meta-GGA SCAN, single point on PBEsol structure)
data_MoOs2Pt
_chemical_formula_sum 'Mo1 Os2 Pt1'
_cell_length_a 3.304
_cell_length_b 3.304
_cell_length_c 5.464
_cell_angle_alpha 90.00
_cell_angle_beta 90.00
_cell_angle_gamma 90.00
_symmetry_space_group_name_H-M 'P 4 m m'
_symmetry_Int_Tables_number 99
loop_
_symmetry_equiv_pos_as_xyz
'x,y,z'
'-y,x,z'
'-x,-y,z'
'y,-x,z'
'-x,y,z'
'y,x,z'
'x,-y,z'
'-y,-x,z'
loop_
_atom_site_label
_atom_site_fract_x
_atom_site_fract_y
_atom_site_fract_z
_atom_site_occupancy
Mo1 0.000 0.000 0.000 1
Os1 0.000 0.000 0.475 1
Os2 0.500 0.500 0.250 1
Pt1 0.500 0.500 0.739 1
# **Crystal system**: tetragonal
# **E above lowest polymorph**: 0.3675 eV/atom
# **VASP energy**: -247.685 eV per formula unit

---

# MoOs2Pt (meta-GGA SCAN, single point on PBEsol structure)
data_MoOs2Pt
_chemical_formula_sum 'Mo1 Os2 Pt1'
_cell_length_a 2.711
_cell_length_b 3.900
_cell_length_c 5.477
_cell_angle_alpha 90.00
_cell_angle_beta 90.00
_cell_angle_gamma 90.00
_symmetry_space_group_name_H-M 'P m m m'
_symmetry_Int_Tables_number 47
loop_
_symmetry_equiv_pos_as_xyz
'x,y,z'
'-x,-y,-z'
'-x,-y,z'
'x,y,-z'
'x,-y,-z'
'-x,y,z'
'-x,y,-z'
'x,-y,z'
loop_
_atom_site_label
_atom_site_fract_x
_atom_site_fract_y
_atom_site_fract_z
_atom_site_occupancy
Mo1 0.000 0.000 0.000 1
Os1 0.500 0.500 0.245 1
Pt1 0.000 0.000 0.500 1
# **Crystal system**: orthorhombic
# **E above lowest polymorph**: 0.1436 eV/atom
# **VASP energy**: -248.581 eV per formula unit

---

# MoOs2Pt (meta-GGA SCAN, single point on PBEsol structure)
data_MoOs2Pt
_chemical_formula_sum 'Mo2 Os4 Pt2'
_cell_length_a 3.853
_cell_length_b 3.853
_cell_length_c 7.754
_cell_angle_alpha 90.00
_cell_angle_beta 90.00
_cell_angle_gamma 90.00
_symmetry_space_group_name_H-M 'I -4 m 2'
_symmetry_Int_Tables_number 119
_symmetry_space_group_name_Hall 'I -4 -2'
loop_
_atom_site_label
_atom_site_fract_x
_atom_site_fract_y
_atom_site_fract_z
_atom_site_occupancy
Mo1 0.000 0.000 0.000 1
Os1 0.000 0.000 0.500 1
Os2 0.000 0.500 0.250 1
Pt1 0.000 0.500 0.750 1
# **Crystal system**: tetragonal
# **E above lowest polymorph**: 0.0000 eV/atom
# **VASP energy**: -249.155 eV per formula unit

---

# MoOs2Pt (meta-GGA SCAN, single point on PBEsol structure)
data_MoOs2Pt
_chemical_formula_sum 'Mo4 Os8 Pt4'
_cell_length_a 6.177
_cell_length_b 6.177
_cell_length_c 6.177
_cell_angle_alpha 90.00
_cell_angle_beta 90.00
_cell_angle_gamma 90.00
_symmetry_space_group_name_H-M 'F m -3 m'
_symmetry_Int_Tables_number 225
_symmetry_space_group_name_Hall '-F 4 2 3'
loop_
_atom_site_label
_atom_site_fract_x
_atom_site_fract_y
_atom_site_fract_z
_atom_site_occupancy
Mo1 0.000 0.000 0.000 1
Os1 0.250 0.250 0.250 1
Pt1 0.000 0.000 0.500 1
# **Crystal system**: cubic
# **E above lowest polymorph**: 0.4569 eV/atom
# **VASP energy**: -247.328 eV per formula unit

---

# RbMoOs3 (meta-GGA SCAN, single point on PBEsol structure)
data_RbMoOs3
_chemical_formula_sum 'Rb1 Mo1 Os3'
_cell_length_a 4.571
_cell_length_b 4.571
_cell_length_c 4.571
_cell_angle_alpha 90.00
_cell_angle_beta 90.00
_cell_angle_gamma 90.00
_symmetry_space_group_name_H-M 'P m -3 m'
_symmetry_Int_Tables_number 221
_symmetry_space_group_name_Hall '-P 4 2 3'
loop_
_atom_site_label
_atom_site_fract_x
_atom_site_fract_y
_atom_site_fract_z
_atom_site_occupancy
Rb1 0.000 0.000 0.000 1
Mo1 0.500 0.500 0.500 1
Os1 0.000 0.000 0.500 1
# **Crystal system**: cubic
# **VASP energy**: -249.389 eV per formula unit

---

# RbSrMoOs2 (meta-GGA SCAN, single point on PBEsol structure)
data_RbSrMoOs2
_chemical_formula_sum 'Rb1 Sr1 Mo1 Os2'
_cell_length_a 4.760
_cell_length_b 4.760
_cell_length_c 5.433
_cell_angle_alpha 90.00
_cell_angle_beta 90.00
_cell_angle_gamma 90.00
_symmetry_space_group_name_H-M 'P 4/m m m'
_symmetry_Int_Tables_number 123
_symmetry_space_group_name_Hall '-P 4 2'
loop_
_atom_site_label
_atom_site_fract_x
_atom_site_fract_y
_atom_site_fract_z
_atom_site_occupancy
Rb1 0.000 0.000 0.000 1
Sr1 0.500 0.500 0.000 1
Mo1 0.000 0.000 0.500 1
Os1 0.000 0.500 0.500 1
# **Crystal system**: tetragonal
# **VASP energy**: -214.450 eV per formula unit

---

# Re2MoOs (meta-GGA SCAN, single point on PBEsol structure)
data_Re2MoOs
_chemical_formula_sum 'Re2 Mo1 Os1'
_cell_length_a 2.726
_cell_length_b 2.726
_cell_length_c 7.902
_cell_angle_alpha 90.00
_cell_angle_beta 90.00
_cell_angle_gamma 90.00
_symmetry_space_group_name_H-M 'P 4/m m m'
_symmetry_Int_Tables_number 123
_symmetry_space_group_name_Hall '-P 4 2'
loop_
_atom_site_label
_atom_site_fract_x
_atom_site_fract_y
_atom_site_fract_z
_atom_site_occupancy
Re1 0.000 0.000 0.240 1
Mo1 0.500 0.500 0.500 1
Os1 0.500 0.500 0.000 1
# **Crystal system**: tetragonal
# **E above lowest polymorph**: 0.0470 eV/atom
# **VASP energy**: -248.479 eV per formula unit

---

# Re2MoOs (meta-GGA SCAN, single point on PBEsol structure)
data_Re2MoOs
_chemical_formula_sum 'Re4 Mo2 Os2'
_cell_length_a 3.878
_cell_length_b 3.878
_cell_length_c 7.774
_cell_angle_alpha 90.00
_cell_angle_beta 90.00
_cell_angle_gamma 90.00
_symmetry_space_group_name_H-M 'I -4 m 2'
_symmetry_Int_Tables_number 119
_symmetry_space_group_name_Hall 'I -4 -2'
loop_
_atom_site_label
_atom_site_fract_x
_atom_site_fract_y
_atom_site_fract_z
_atom_site_occupancy
Re1 0.000 0.000 0.000 1
Re2 0.000 0.500 0.250 1
Mo1 0.000 0.500 0.750 1
Os1 0.000 0.000 0.500 1
# **Crystal system**: tetragonal
# **E above lowest polymorph**: 0.0000 eV/atom
# **VASP energy**: -248.667 eV per formula unit

---

# ReMoOs2 (meta-GGA SCAN, single point on PBEsol structure)
data_ReMoOs2
_chemical_formula_sum 'Re2 Mo2 Os4'
_cell_length_a 9.051
_cell_length_b 2.734
_cell_length_c 4.746
_cell_angle_alpha 90.00
_cell_angle_beta 99.75
_cell_angle_gamma 90.00
_symmetry_space_group_name_H-M 'C 1 m 1'
_symmetry_Int_Tables_number 8
loop_
_symmetry_equiv_pos_as_xyz
'x,y,z'
'x,-y,z'
'x+1/2,y+1/2,z'
'x+1/2,-y+1/2,z'
loop_
_atom_site_label
_atom_site_fract_x
_atom_site_fract_y
_atom_site_fract_z
_atom_site_occupancy
Re1 0.000 0.000 0.000 1
Mo1 0.245 0.000 0.731 1
Os1 0.248 0.500 0.235 1
Os2 0.492 0.000 0.485 1
# **Crystal system**: monoclinic
# **VASP energy**: -249.451 eV per formula unit

---

# Re2MoOs (meta-GGA SCAN, single point on PBEsol structure)
data_Re2MoOs
_chemical_formula_sum 'Re8 Mo4 Os4'
_cell_length_a 6.177
_cell_length_b 6.177
_cell_length_c 6.177
_cell_angle_alpha 90.00
_cell_angle_beta 90.00
_cell_angle_gamma 90.00
_symmetry_space_group_name_H-M 'F -4 3 m'
_symmetry_Int_Tables_number 216
_symmetry_space_group_name_Hall 'F -4 2 3'
loop_
_atom_site_label
_atom_site_fract_x
_atom_site_fract_y
_atom_site_fract_z
_atom_site_occupancy
Re1 0.000 0.000 0.000 1
Re2 0.250 0.250 0.250 1
Mo1 0.000 0.000 0.500 1
Os1 0.250 0.250 0.750 1
# **Crystal system**: cubic
# **E above lowest polymorph**: 0.2306 eV/atom
# **VASP energy**: -247.744 eV per formula unit

---

# Re2MoOs (meta-GGA SCAN, single point on PBEsol structure)
data_Re2MoOs
_chemical_formula_sum 'Re2 Mo1 Os1'
_cell_length_a 2.743
_cell_length_b 3.875
_cell_length_c 5.506
_cell_angle_alpha 90.00
_cell_angle_beta 90.00
_cell_angle_gamma 90.00
_symmetry_space_group_name_H-M 'P m m 2'
_symmetry_Int_Tables_number 25
loop_
_symmetry_equiv_pos_as_xyz
'x,y,z'
'-x,-y,z'
'-x,y,z'
'x,-y,z'
loop_
_atom_site_label
_atom_site_fract_x
_atom_site_fract_y
_atom_site_fract_z
_atom_site_occupancy
Re1 0.000 0.000 0.000 1
Re2 0.500 0.500 0.245 1
Mo1 0.000 0.000 0.503 1
Os1 0.500 0.500 0.752 1
# **Crystal system**: orthorhombic
# **E above lowest polymorph**: 0.0087 eV/atom
# **VASP energy**: -248.632 eV per formula unit

---

| no. | energy of formation from the pure elements (eV per formula unit) |
| --- | --- |
| 1 | -0.52 |
| 2 | 1.15 |
| 3 | 0.26 |
| 4 | -0.32 |
| 5 | 1.51 |
| 6 | 21.88 |
| 7 | 7.21 |
| 8 | 0.48 |
| 9 | 0.29 |
| 10 | 0.29 |
| 11 | 1.22 |
| 12 | 0.33 |